## Nd4YSc3 (GGA-PBE)

Data for a relaxed Nd4YSc3 crystal. Values from VASP.

Values from the calculation:
Total energy ... -42.21 eV per cell
Calculated density ... 4.92 g/cm3
Total magnetic moment ... 0.00 μB per formula unit

```
&SYSTEM
  ibrav = 0, nat = 8, ntyp = 3
/
ATOMIC_SPECIES
Nd 144.24 Nd.upf
Y 88.91 Y.upf
Sc 44.96 Sc.upf
CELL_PARAMETERS angstrom
13.638 -1.738 0.000
13.638 1.738 0.000
-0.366 0.000 5.696
ATOMIC_POSITIONS crystal
Nd 0.100 0.100 0.030
Nd 0.190 0.190 0.561
Nd 0.810 0.810 0.439
Nd 0.900 0.900 0.970
Y 0.000 0.000 0.500
Sc 0.294 0.294 0.930
Sc 0.500 0.500 0.000
Sc 0.706 0.706 0.070
```


## CdIr2Os (GGA-PBE)

Data for a relaxed CdIr2Os crystal. Values from VASP.

Values from the calculation:
Total energy ... -27.90 eV per cell
Calculated density ... 17.88 g/cm3
Total magnetic moment ... 0.35 μB per formula unit

```
&SYSTEM
  ibrav = 0, nat = 4, ntyp = 3
/
ATOMIC_SPECIES
Cd 112.41 Cd.upf
Ir 192.22 Ir.upf
Os 190.23 Os.upf
CELL_PARAMETERS angstrom
1.382 -2.398 0.000
1.382 2.398 0.000
0.000 0.000 9.623
ATOMIC_POSITIONS crystal
Cd 0.000 0.000 0.000
Ir 0.000 0.000 0.500
Ir 0.500 0.500 0.742
Os 0.500 0.500 0.266
```


## AcEuCoAu (GGA-PBE)

Data for a relaxed AcEuCoAu crystal. Values from VASP.

Values from the calculation:
Total energy ... -25.63 eV per cell
Calculated density ... 10.28 g/cm3
Total magnetic moment ... 6.54 μB per formula unit

```
&SYSTEM
  ibrav = 0, nat = 4, ntyp = 4
/
ATOMIC_SPECIES
Ac 227.00 Ac.upf
Eu 151.96 Eu.upf
Co 58.93 Co.upf
Au 196.97 Au.upf
CELL_PARAMETERS angstrom
0.000 3.715 3.715
3.715 0.000 3.715
3.715 3.715 0.000
ATOMIC_POSITIONS crystal
Ac 0.000 0.000 0.000
Eu 0.500 0.500 0.500
Co 0.250 0.250 0.250
Au 0.750 0.750 0.750
```


## Ca3LaIn (GGA-PBE)

Data for a relaxed Ca3LaIn crystal. Values from VASP.

Values from the calculation:
Total energy ... -9.61 eV per cell
Energy above the lowest structure with this stoichiometry ... 0.666 eV per atom
Calculated density ... 3.07 g/cm3
Total magnetic moment ... 0.00 μB per formula unit

```
&SYSTEM
  ibrav = 0, nat = 5, ntyp = 3
/
ATOMIC_SPECIES
Ca 40.08 Ca.upf
La 138.91 La.upf
In 114.82 In.upf
CELL_PARAMETERS angstrom
5.869 0.000 0.000
0.000 5.869 0.000
0.000 0.000 5.869
ATOMIC_POSITIONS crystal
Ca 0.000 0.000 0.500
Ca 0.000 0.500 0.000
Ca 0.500 0.000 0.000
La 0.000 0.000 0.000
In 0.500 0.500 0.500
```


## Mg2ZrCu (GGA-PBE)

Data for a relaxed Mg2ZrCu crystal. Values from VASP.

Values from the calculation:
Total energy ... -15.11 eV per cell
Calculated density ... 4.26 g/cm3
Total magnetic moment ... 0.00 μB per formula unit

```
&SYSTEM
  ibrav = 0, nat = 4, ntyp = 3
/
ATOMIC_SPECIES
Mg 24.30 Mg.upf
Zr 91.22 Zr.upf
Cu 63.55 Cu.upf
CELL_PARAMETERS angstrom
2.942 -4.790 0.000
2.942 4.790 0.000
0.000 0.000 2.812
ATOMIC_POSITIONS crystal
Mg 0.000 0.500 0.000
Mg 0.500 0.000 0.000
Zr 0.000 0.000 0.500
Cu 0.500 0.500 0.500
```


## SbSeBrN2 (GGA-PBE)

Data for a relaxed SbSeBrN2 crystal. Values from VASP.

Values from the calculation:
Total energy ... -16.07 eV per cell
Energy above the lowest structure with this stoichiometry ... 0.714 eV per atom
Calculated density ... 5.72 g/cm3
Total magnetic moment ... 0.76 μB per formula unit
Formation energy without anion corrections ... 1972 meV/atom

```
&SYSTEM
  ibrav = 0, nat = 5, ntyp = 4
/
ATOMIC_SPECIES
Sb 121.76 Sb.upf
Se 78.96 Se.upf
Br 79.90 Br.upf
N 14.01 N.upf
CELL_PARAMETERS angstrom
4.179 0.000 0.000
0.000 4.179 0.000
0.000 0.000 5.133
ATOMIC_POSITIONS crystal
Sb 0.000 0.000 0.000
Se 0.500 0.500 0.000
Br 0.500 0.500 0.500
N 0.000 0.500 0.500
N 0.500 0.000 0.500
```


## AcLa6Tb2Er (GGA-PBE)

Data for a relaxed AcLa6Tb2Er crystal. Values from VASP.

Values from the calculation:
Total energy ... -92.82 eV per cell
Calculated density ... 7.05 g/cm3
Total magnetic moment ... 0.00 μB per formula unit

```
&SYSTEM
  ibrav = 0, nat = 20, ntyp = 4
/
ATOMIC_SPECIES
Ac 227.00 Ac.upf
La 138.91 La.upf
Tb 158.93 Tb.upf
Er 167.26 Er.upf
CELL_PARAMETERS angstrom
4.732 -7.777 0.000
4.732 7.777 0.000
-1.302 0.000 9.898
ATOMIC_POSITIONS crystal
Ac 0.024 0.976 0.750
Ac 0.976 0.024 0.250
La 0.004 0.554 0.688
La 0.115 0.751 0.050
La 0.249 0.885 0.450
La 0.296 0.507 0.880
La 0.446 0.996 0.812
La 0.493 0.704 0.620
La 0.507 0.296 0.380
La 0.554 0.004 0.188
La 0.704 0.493 0.120
La 0.751 0.115 0.550
La 0.885 0.249 0.950
La 0.996 0.446 0.312
Tb 0.203 0.305 0.546
Tb 0.305 0.203 0.046
Tb 0.695 0.797 0.954
Tb 0.797 0.695 0.454
Er 0.411 0.589 0.250
Er 0.589 0.411 0.750
```


## ScTlZn (GGA-PBE)

Data for a relaxed ScTlZn crystal. Values from VASP.

Values from the calculation:
Total energy ... -20.97 eV per cell
Calculated density ... 8.24 g/cm3
Total magnetic moment ... 0.00 μB per formula unit

```
&SYSTEM
  ibrav = 0, nat = 6, ntyp = 3
/
ATOMIC_SPECIES
Sc 44.96 Sc.upf
Tl 204.38 Tl.upf
Zn 65.41 Zn.upf
CELL_PARAMETERS angstrom
4.692 0.000 0.000
2.346 5.161 0.000
2.340 -1.005 5.241
ATOMIC_POSITIONS crystal
Sc 0.000 0.000 0.000
Sc 0.500 0.500 0.500
Tl 0.230 0.411 0.128
Tl 0.770 0.589 0.872
Zn 0.230 0.074 0.466
Zn 0.770 0.926 0.534
```


## SmTlZn (GGA-PBE)

Data for a relaxed SmTlZn crystal. Values from VASP.

Values from the calculation:
Total energy ... -9.31 eV per cell
Calculated density ... 9.52 g/cm3
Total magnetic moment ... 0.00 μB per formula unit

```
&SYSTEM
  ibrav = 0, nat = 3, ntyp = 3
/
ATOMIC_SPECIES
Sm 150.36 Sm.upf
Tl 204.38 Tl.upf
Zn 65.41 Zn.upf
CELL_PARAMETERS angstrom
4.769 0.000 0.000
-2.384 4.130 0.000
0.000 0.000 3.720
ATOMIC_POSITIONS crystal
Sm 0.000 0.000 0.000
Tl 0.667 0.333 0.500
Zn 0.333 0.667 0.500
```


## PmEuRu (GGA-PBE)

Data for a relaxed PmEuRu crystal. Values from VASP.

Values from the calculation:
Total energy ... -23.97 eV per cell
Energy above the lowest structure with this stoichiometry ... 0.171 eV per atom
Calculated density ... 8.98 g/cm3
Total magnetic moment ... 7.09 μB per formula unit

```
&SYSTEM
  ibrav = 0, nat = 3, ntyp = 3
/
ATOMIC_SPECIES
Pm 145.00 Pm.upf
Eu 151.96 Eu.upf
Ru 101.07 Ru.upf
CELL_PARAMETERS angstrom
4.801 0.000 0.000
-2.401 4.158 0.000
0.000 0.000 3.685
ATOMIC_POSITIONS crystal
Pm 0.000 0.000 0.000
Eu 0.333 0.667 0.552
Ru 0.667 0.333 0.254
```


## KCd2AsPb (GGA-PBE)

Data for a relaxed KCd2AsPb crystal. Values from VASP.

Values from the calculation:
Total energy ... -10.16 eV per cell
Calculated density ... 4.62 g/cm3
Total magnetic moment ... 0.00 μB per formula unit

```
&SYSTEM
  ibrav = 0, nat = 5, ntyp = 4
/
ATOMIC_SPECIES
K 39.10 K.upf
Cd 112.41 Cd.upf
As 74.92 As.upf
Pb 207.20 Pb.upf
CELL_PARAMETERS angstrom
5.925 0.000 0.000
0.000 5.925 0.000
0.000 0.000 5.585
ATOMIC_POSITIONS crystal
K 0.000 0.000 0.000
Cd 0.000 0.500 0.500
Cd 0.500 0.000 0.500
As 0.500 0.500 0.000
Pb 0.500 0.500 0.500
```


## SrRe2Ru (GGA-PBE)

Data for a relaxed SrRe2Ru crystal. Values from VASP.

Values from the calculation:
Total energy ... -30.48 eV per cell
Energy above the lowest structure with this stoichiometry ... 0.749 eV per atom
Calculated density ... 13.15 g/cm3
Total magnetic moment ... 0.00 μB per formula unit

```
&SYSTEM
  ibrav = 0, nat = 4, ntyp = 3
/
ATOMIC_SPECIES
Sr 87.62 Sr.upf
Re 186.21 Re.upf
Ru 101.07 Ru.upf
CELL_PARAMETERS angstrom
5.001 0.000 0.000
0.000 5.001 0.000
0.000 0.000 2.833
ATOMIC_POSITIONS crystal
Sr 0.000 0.000 0.000
Re 0.000 0.500 0.500
Re 0.500 0.000 0.500
Ru 0.500 0.500 0.000
```


## Pr3Zn6InGa2 (GGA-PBE)

Data for a relaxed Pr3Zn6InGa2 crystal. Values from VASP.

Values from the calculation:
Total energy ... -33.04 eV per cell
Calculated density ... 6.58 g/cm3
Total magnetic moment ... 0.00 μB per formula unit

```
&SYSTEM
  ibrav = 0, nat = 12, ntyp = 4
/
ATOMIC_SPECIES
Pr 140.91 Pr.upf
Zn 65.41 Zn.upf
In 114.82 In.upf
Ga 69.72 Ga.upf
CELL_PARAMETERS angstrom
6.098 0.000 0.000
-3.049 5.281 0.000
0.000 0.000 8.378
ATOMIC_POSITIONS crystal
Pr 0.000 0.000 0.000
Pr 0.333 0.667 0.632
Pr 0.667 0.333 0.368
Zn 0.191 0.382 0.278
Zn 0.191 0.809 0.278
Zn 0.382 0.191 0.722
Zn 0.618 0.809 0.278
Zn 0.809 0.191 0.722
Zn 0.809 0.618 0.722
In 0.000 0.000 0.500
Ga 0.333 0.667 0.003
Ga 0.667 0.333 0.997
```


Number 1: calculated volume 33.76 A^3/atom. Number 2: calculated volume 15.95 A^3/atom. Number 3: calculated volume 25.63 A^3/atom. Number 4: calculated volume 40.43 A^3/atom. Number 5: calculated volume 19.81 A^3/atom. Number 6: calculated volume 17.93 A^3/atom. Number 7: calculated volume 36.42 A^3/atom. Number 8: calculated volume 21.15 A^3/atom. Number 9: calculated volume 24.42 A^3/atom. Number 10: calculated volume 24.52 A^3/atom. Number 11: calculated volume 39.22 A^3/atom. Number 12: calculated volume 17.71 A^3/atom. Number 13: calculated volume 22.48 A^3/atom.